# PBE SiHg2Ru, optimized geometry
# energy relative to the elements, uncorrected = 518 meV/atom
data_SiHg2Ru
_cell_length_a 4.081
_cell_length_b 4.081
_cell_length_c 8.484
_cell_angle_alpha 90.00
_cell_angle_beta 90.00
_cell_angle_gamma 90.00
_space_group_name_H-M_alt 'I -4 m 2'
_space_group_IT_number 119
_space_group_name_Hall 'I -4 -2'
loop_
_atom_site_label
_atom_site_type_symbol
_atom_site_fract_x
_atom_site_fract_y
_atom_site_fract_z
Si1 Si 0.000 0.000 0.000
Hg1 Hg 0.000 0.000 0.500
Hg2 Hg 0.000 0.500 0.750
Ru1 Ru 0.000 0.500 0.250

---

# PBE ReSiAsBr2, optimized geometry
# energy relative to the elements, uncorrected = 969 meV/atom
# polymorph energy (0 for the lowest one) = 0 meV/atom
data_ReSiAsBr2
_cell_length_a 5.154
_cell_length_b 5.154
_cell_length_c 4.806
_cell_angle_alpha 90.00
_cell_angle_beta 90.00
_cell_angle_gamma 90.00
_space_group_name_H-M_alt 'P 4/m m m'
_space_group_IT_number 123
_space_group_name_Hall '-P 4 2'
loop_
_atom_site_label
_atom_site_type_symbol
_atom_site_fract_x
_atom_site_fract_y
_atom_site_fract_z
Re1 Re 0.000 0.000 0.000
Si1 Si 0.500 0.500 0.500
As1 As 0.000 0.000 0.500
Br1 Br 0.000 0.500 0.000

---

# PBE TbDy3Er3Se8, optimized geometry
# energy relative to the elements, uncorrected = -1816 meV/atom
data_TbDy3Er3Se8
_cell_length_a 8.0861
_cell_length_b 8.0861
_cell_length_c 19.8272
_cell_angle_alpha 90.00
_cell_angle_beta 90.00
_cell_angle_gamma 120.00
_space_group_name_H-M_alt 'R -3 m'
_space_group_IT_number 166
_space_group_name_Hall '-R 3 2"'
loop_
_atom_site_label
_atom_site_type_symbol
_atom_site_fract_x
_atom_site_fract_y
_atom_site_fract_z
Tb1 Tb 0.0000 0.0000 0.0000
Dy1 Dy 0.0000 0.5000 0.5000
Er1 Er 0.0000 0.5000 0.0000
Se1 Se 0.0000 0.0000 0.2511
Se2 Se 0.0085 0.5043 0.2490

---

# PBE Ac2LaPm5Dy, optimized geometry
# formation enthalpy at 0 K = 0.079 eV/atom
data_Ac2LaPm5Dy
_cell_length_a 5.934
_cell_length_b 17.927
_cell_length_c 12.450
_cell_angle_alpha 90.00
_cell_angle_beta 90.00
_cell_angle_gamma 90.00
_space_group_name_H-M_alt 'C m c 21'
_space_group_IT_number 36
loop_
_space_group_symop_operation_xyz
'x,y,z'
'-x,-y,z+1/2'
'-x,y,z'
'x,-y,z+1/2'
'x+1/2,y+1/2,z'
'-x+1/2,-y+1/2,z+1/2'
'-x+1/2,y+1/2,z'
'x+1/2,-y+1/2,z+1/2'
loop_
_atom_site_label
_atom_site_type_symbol
_atom_site_fract_x
_atom_site_fract_y
_atom_site_fract_z
Ac1 Ac 0.000 0.082 0.000
Ac2 Ac 0.000 0.111 0.666
La1 La 0.000 0.251 0.171
Pm1 Pm 0.000 0.085 0.333
Pm2 Pm 0.000 0.270 0.467
Pm3 Pm 0.000 0.273 0.867
Pm4 Pm 0.000 0.439 0.018
Pm5 Pm 0.000 0.442 0.309
Dy1 Dy 0.000 0.391 0.670

---

Number 1: magnetization 0.000 μB/atom, mass density 12.468 Mg/m³. Number 2: magnetization 0.405 μB/atom, mass density 5.841 Mg/m³. Number 3: magnetization 0.000 μB/atom, mass density 7.897 Mg/m³. Number 4: magnetization 0.000 μB/atom, mass density 7.425 Mg/m³.